Entry 1:
Li5Ga2Ag2 | PBE | optimized geometry

a b c (Å): 16.408 4.513 7.865
angles (deg): 90.00 90.00 90.00
Space group Ima2 (No. 46)
Asymmetric unit:
Li1 0.082 0.001 0.000 [8 per cell]
Li2 0.163 0.000 0.667 [8 per cell]
Li3 0.250 0.000 0.331 [4 per cell]
Ga1 0.080 0.501 0.833 [8 per cell]
Ag1 0.000 0.000 0.668 [4 per cell]
Ag2 0.250 0.000 0.997 [4 per cell]

Output
Calculated volume   16.2 A^3/atom
Energy of formation   -1.96 eV/f.u.
Distance to the lowest polymorph of the same formula   0 meV/atom

Entry 2:
Hf2ScZn | PBE | optimized geometry

a b c (Å): 4.527 4.527 16.092
angles (deg): 90.00 90.00 90.00
Space group I4/mmm (No. 139)
Asymmetric unit:
Hf1 0.000 0.000 0.133 [4 per cell]
Hf2 0.000 0.500 0.000 [4 per cell]
Sc1 0.000 0.000 0.363 [4 per cell]
Zn1 0.000 0.500 0.250 [4 per cell]

Output
Calculated volume   20.6 A^3/atom
Energy of formation   -0.53 eV/f.u.

Entry 3:
Cu2TeW | PBE | optimized geometry

a b c (Å): 3.159 4.442 9.199
angles (deg): 90.00 90.00 90.00
Space group Immm (No. 71)
Asymmetric unit:
Cu1 0.000 0.000 0.249 [4 per cell]
Te1 0.000 0.500 0.500 [2 per cell]
W1 0.000 0.500 0.000 [2 per cell]

Output
Calculated volume   16.1 A^3/atom
Formation energy (no corrections)   0.652 eV/atom

Entry 4:
YCuOs | PBE | optimized geometry

a b c (Å): 5.165 5.233 7.767
angles (deg): 90.00 90.00 90.00
Space group Imma (No. 74)
Asymmetric unit:
Y1 0.000 0.250 0.119 [4 per cell]
Cu1 0.000 0.000 0.500 [4 per cell]
Os1 0.250 0.250 0.750 [4 per cell]

Output
Calculated volume   17.5 A^3/atom
Energy of formation   -0.76 eV/f.u.
Distance to the lowest polymorph of the same formula   0 meV/atom

Entry 5:
Sr2GaSb3Pt4 | PBE | optimized geometry

a b c (Å): 4.637 4.637 10.646
angles (deg): 90.00 90.00 90.00
Space group P-4m2 (No. 115)
Asymmetric unit:
Sr1 0.000 0.500 0.248 [2 per cell]
Ga1 0.000 0.000 0.500 [1 per cell]
Sb1 0.000 0.500 0.870 [2 per cell]
Sb2 0.500 0.500 0.500 [1 per cell]
Pt1 0.000 0.000 0.000 [1 per cell]
Pt2 0.000 0.500 0.620 [2 per cell]
Pt3 0.500 0.500 0.000 [1 per cell]

Output
Calculated volume   22.9 A^3/atom
Formation energy (no corrections)   -0.809 eV/atom

Entry 6:
K3LiPb4 | PBE | optimized geometry

a b c (Å): 6.924 12.986 6.907
angles (deg): 90.00 90.00 90.00
Space group Pmmn (No. 59, origin choice 2)
Asymmetric unit:
K1 0.250 0.002 0.166 [4 per cell]
K2 0.250 0.250 0.537 [2 per cell]
Li1 0.250 0.750 0.312 [2 per cell]
Pb1 0.005 0.750 0.964 [4 per cell]
Pb2 0.250 0.626 0.666 [4 per cell]

Output
Calculated volume   38.8 A^3/atom
Energy of formation   -1.83 eV/f.u.
Distance to the lowest polymorph of the same formula   21 meV/atom

Entry 7:
In2SnHgIr | PBE | optimized geometry

a b c (Å): 5.228 5.228 5.098
angles (deg): 90.00 90.00 90.00
Space group P4/mmm (No. 123)
Asymmetric unit:
In1 0.000 0.500 0.000 [2 per cell]
Sn1 0.000 0.000 0.500 [1 per cell]
Hg1 0.500 0.500 0.500 [1 per cell]
Ir1 0.000 0.000 0.000 [1 per cell]

Output
Calculated volume   27.9 A^3/atom
Energy of formation   -0.34 eV/f.u.

Entry 8:
Ca2OsRhO8 | PBE | optimized geometry

a b c (Å): 5.031 6.396 5.038
angles (deg): 90.00 91.69 90.00
Space group P2/m (No. 10)
Asymmetric unit:
Ca1 0.000 0.248 0.000 [2 per cell]
Os1 0.500 0.500 0.500 [1 per cell]
Rh1 0.500 0.000 0.500 [1 per cell]
O1 0.233 0.000 0.231 [2 per cell]
O2 0.239 0.500 0.237 [2 per cell]
O3 0.328 0.265 0.670 [4 per cell]

Output
Calculated volume   13.5 A^3/atom
Formation energy (no corrections)   -1.489 eV/atom

> calculated volume of number 2 (Hf2ScZn)?

20.6 A^3/atom

> What is the calculated volume in the fourth record?

17.5 A^3/atom

> The highest calculated volume belongs to which entry?

K3LiPb4

> The highest calculated volume belongs to which entry?

K3LiPb4